[1]
A plane-wave DFT calculation with PBE-GGA was carried out for Rb2HoSb4Au3 after structural relaxation.

Cell: 4.8823 4.8823 12.2048 Å, 90.00 90.00 90.00°
Fractional coordinates of all 10 atoms:
Rb1 0.5000 0.0000 0.2430
Rb2 0.0000 0.5000 0.7570
Ho1 0.5000 0.5000 0.5000
Sb1 0.5000 0.5000 0.0000
Sb2 0.0000 0.0000 0.0000
Sb3 0.5000 0.0000 0.6415
Sb4 0.0000 0.5000 0.3585
Au1 0.0000 0.0000 0.5000
Au2 0.5000 0.0000 0.8751
Au3 0.0000 0.5000 0.1249

Results
Its total magnetization is 0.000 μB/atom. For the density of states at the Fermi level, the calculation gives 0.22 states/eV/atom. As for the crystal system: tetragonal. As for the uncorrected formation energy: -0.452 eV per atom.

=====

[2]
A plane-wave DFT calculation with PBE-GGA was carried out for AlPdAu2 after structural relaxation.

Cell: 3.0332 5.7665 7.8394 Å, 90.00 90.00 104.94°
Fractional coordinates of all 8 atoms:
Al1 0.7611 0.5321 0.2500
Al2 0.2389 0.4679 0.7500
Pd1 0.4439 0.8963 0.2500
Pd2 0.5561 0.1037 0.7500
Au1 0.1207 0.2536 0.4454
Au2 0.8793 0.7464 0.5546
Au3 0.8793 0.7464 0.9454
Au4 0.1207 0.2536 0.0546

Results
Its total magnetization is 0.000 μB/atom. For the density of states at the Fermi level, the calculation gives 0.28 states/eV/atom. As for the energy relative to the elements: -37.8 kJ per mole of atoms. As for the crystal system: monoclinic.

=====

[3]
A plane-wave DFT calculation with PBE-GGA was carried out for Y3Zn2Cd2Au4 after structural relaxation.

Cell: 4.6036 4.6036 13.5127 Å, 90.00 90.00 120.00°
Fractional coordinates of all 11 atoms:
Y1 0.0000 0.0000 0.7424
Y2 0.0000 0.0000 0.0000
Y3 0.0000 0.0000 0.2576
Zn1 0.6667 0.3333 0.8658
Zn2 0.3333 0.6667 0.1342
Cd1 0.6667 0.3333 0.4331
Cd2 0.3333 0.6667 0.5669
Au1 0.6667 0.3333 0.1236
Au2 0.3333 0.6667 0.8764
Au3 0.6667 0.3333 0.6465
Au4 0.3333 0.6667 0.3535

Results
Its total magnetization is 0.000 μB/atom. For the density of states at the Fermi level, the calculation gives 0.79 states/eV/atom. As for the energy relative to the elements: -55.7 kJ per mole of atoms. As for the crystal system: trigonal.

=====

[4]
A plane-wave DFT calculation with PBE-GGA was carried out for Tb8Dy6Tl after structural relaxation.

Cell: 6.7277 9.1563 9.1563 Å, 120.00 90.00 90.00°
Fractional coordinates of all 15 atoms:
Tb1 0.8821 0.9904 0.3091
Tb2 0.8821 0.6909 0.6813
Tb3 0.8821 0.3187 0.0096
Tb4 0.1179 0.0096 0.6909
Tb5 0.1179 0.3091 0.3187
Tb6 0.1179 0.6813 0.9904
Tb7 0.8233 0.3333 0.6667
Tb8 0.1767 0.6667 0.3333
Dy1 0.6083 0.6796 0.0778
Dy2 0.6083 0.9222 0.6019
Dy3 0.6083 0.3981 0.3204
Dy4 0.3917 0.3204 0.9222
Dy5 0.3917 0.0778 0.3981
Dy6 0.3917 0.6019 0.6796
Tl1 0.5000 0.0000 0.0000

Results
Its total magnetization is 0.000 μB/atom. For the density of states at the Fermi level, the calculation gives 1.32 states/eV/atom. As for the energy relative to the elements: 19.1 kJ per mole of atoms. As for the crystal system: trigonal.

=====

[5]
A plane-wave DFT calculation with PBE-GGA was carried out for TaB2Mo after structural relaxation.

Cell: 4.0088 4.0088 4.0088 Å, 60.00 60.00 60.00°
Fractional coordinates of all 4 atoms:
Mo1 0.0000 0.0000 0.0000
B1 0.2500 0.2500 0.2500
B2 0.7500 0.7500 0.7500
Ta1 0.5000 0.5000 0.5000

Results
Its total magnetization is 0.000 μB/atom. For the density of states at the Fermi level, the calculation gives 0.54 states/eV/atom. As for the energy relative to the elements: 18.3 kJ per mole of atoms. As for the crystal system: cubic. The calculation puts the energy above the most stable polymorph in this dataset at 857 meV/atom.

=====

[6]
A plane-wave DFT calculation with PBE-GGA was carried out for La4CoBi2 after structural relaxation.

Cell: 4.9144 5.2385 8.8460 Å, 107.22 90.00 90.00°
Fractional coordinates of all 7 atoms:
Co1 0.0000 0.0000 0.0000
Bi1 0.5000 0.3484 0.6969
Bi2 0.5000 0.6516 0.3031
La1 0.0000 0.5000 0.0000
La2 0.5000 0.0000 0.0000
La3 0.0000 0.1744 0.3489
La4 0.0000 0.8256 0.6511

Results
Its total magnetization is 0.000 μB/atom. For the density of states at the Fermi level, the calculation gives 0.71 states/eV/atom. As for the energy relative to the elements: -60.3 kJ per mole of atoms. As for the crystal system: orthorhombic. The calculation puts the energy above the most stable polymorph in this dataset at 50 meV/atom.

=====

[7]
A plane-wave DFT calculation with PBE-GGA was carried out for RbSe2F after structural relaxation.

Cell: 6.5429 6.5429 6.5429 Å, 41.29 41.29 41.29°
Fractional coordinates of all 4 atoms:
Se1 0.8197 0.8197 0.8197
Se2 0.1803 0.1803 0.1803
Rb1 0.0000 0.0000 0.0000
F1 0.5000 0.5000 0.5000

Results
Its total magnetization is 0.000 μB/atom. For the density of states at the Fermi level, the calculation gives 0.00 states/eV/atom. As for the crystal system: trigonal. The calculation puts the energy above the most stable polymorph in this dataset at 219 meV/atom. As for the uncorrected formation energy: -0.810 eV per atom.

=====

[8]
A plane-wave DFT calculation with PBE-GGA was carried out for Ce3SmSi4 after structural relaxation.

Cell: 4.0022 6.4133 8.7955 Å, 111.38 103.15 90.00°
Fractional coordinates of all 8 atoms:
Ce1 0.0000 0.5000 0.0000
Ce2 0.1956 0.1955 0.3912
Ce3 0.8044 0.8045 0.6088
Sm1 0.5000 0.0000 0.0000
Si1 0.3687 0.5528 0.7374
Si2 0.6313 0.4472 0.2626
Si3 0.6312 0.8152 0.2625
Si4 0.3688 0.1848 0.7375

Results
Its total magnetization is 0.125 μB/atom. For the density of states at the Fermi level, the calculation gives 1.82 states/eV/atom. As for the crystal system: orthorhombic. As for the uncorrected formation energy: -0.485 eV per atom.

=====

[9]
A plane-wave DFT calculation with PBE-GGA was carried out for LaTbPm2Bi4 after structural relaxation.

Cell: 4.5962 7.9549 7.9474 Å, 70.54 90.00 90.00°
Fractional coordinates of all 8 atoms:
La1 0.5000 0.5000 0.0000
Tb1 0.0000 0.5000 0.5000
Pm1 0.0000 0.0000 0.0000
Pm2 0.5000 0.0000 0.5000
Bi1 0.0000 0.7521 0.7440
Bi2 0.0000 0.2479 0.2560
Bi3 0.5000 0.7483 0.2557
Bi4 0.5000 0.2517 0.7443

Results
Its total magnetization is 0.000 μB/atom. For the density of states at the Fermi level, the calculation gives 0.14 states/eV/atom. As for the energy relative to the elements: -91.5 kJ per mole of atoms. As for the crystal system: monoclinic.